Material: RbFeBr4
Method: DFT, PBE
State: relaxed

a = 7.6701 Å, b = 10.5642 Å, c = 11.6809 Å
α = 90.00°, β = 90.00°, γ = 90.00°
Atoms (fractional coordinates):
Rb 0.7500 0.2112 0.2999
Rb 0.7500 0.2888 0.7999
Rb 0.2500 0.7112 0.2001
Rb 0.2500 0.7888 0.7001
Br 0.7500 0.9413 0.7807
Br 0.2500 0.0587 0.2193
Br 0.2500 0.0693 0.8846
Br 0.9988 0.8200 0.4416
Br 0.0012 0.1800 0.5584
Br 0.4988 0.3200 0.0584
Br 0.9988 0.6800 0.9416
Br 0.7500 0.9307 0.1154
Br 0.7500 0.5693 0.6154
Br 0.5012 0.8200 0.4416
Br 0.5012 0.6800 0.9416
Br 0.2500 0.4307 0.3846
Br 0.0012 0.3200 0.0584
Br 0.7500 0.5587 0.2807
Br 0.4988 0.1800 0.5584
Br 0.2500 0.4413 0.7193
Fe 0.7500 0.8129 0.9455
Fe 0.2500 0.1871 0.0545
Fe 0.7500 0.6871 0.4455
Fe 0.2500 0.3129 0.5545

Summary:
Symmetry = No. 62
Raw total energy = -3.643 eV per atom

=====

Material: RbFe2Br6
Method: DFT, PBE
State: relaxed

a = 6.7111 Å, b = 10.4056 Å, c = 10.4056 Å
α = 93.65°, β = 84.97°, γ = 84.97°
Atoms (fractional coordinates):
Br 0.4245 0.7167 0.5836
Br 0.7691 0.2098 0.0493
Br 0.2691 0.0493 0.2098
Br 0.5755 0.2833 0.4164
Br 0.0738 0.1844 0.5677
Br 0.5738 0.5677 0.1844
Br 0.9245 0.5836 0.7167
Br 0.4262 0.4323 0.8156
Br 0.2309 0.7902 0.9507
Br 0.7309 0.9507 0.7902
Br 0.9262 0.8156 0.4323
Br 0.0755 0.4164 0.2833
Fe 0.7626 0.7753 0.6301
Fe 0.2374 0.2247 0.3699
Fe 0.2626 0.6301 0.7753
Fe 0.7374 0.3699 0.2247
Rb 0.2500 0.1294 0.8706
Rb 0.7500 0.8706 0.1294

Summary:
Symmetry = No. 15
DOS at the Fermi energy = 7.99 states/eV per cell
Raw total energy = -3.868 eV per atom

=====

Material: RbFe3Br
Method: DFT, PBE
State: relaxed

a = 4.9712 Å, b = 4.9712 Å, c = 4.9712 Å
α = 90.00°, β = 90.00°, γ = 90.00°
Atoms (fractional coordinates):
Rb 0.0000 0.0000 0.0000
Fe 0.0000 0.0000 0.5000
Fe 0.5000 0.0000 0.0000
Fe 0.0000 0.5000 0.0000
Br 0.5000 0.5000 0.5000

Summary:
Symmetry = No. 221
DOS at the Fermi energy = 6.80 states/eV per cell
Raw total energy = -3.105 eV per atom

=====

Material: Rb3Fe2Br9
Method: DFT, PBE
State: relaxed

a = 7.5402 Å, b = 7.5402 Å, c = 9.3381 Å
α = 90.00°, β = 90.00°, γ = 120.00°
Atoms (fractional coordinates):
Br 0.5000 0.5000 0.0000
Br 0.6559 0.8280 0.6783
Br 0.3441 0.1720 0.3217
Br 0.5000 0.0000 0.0000
Br 0.1720 0.3441 0.6783
Br 0.0000 0.5000 0.0000
Br 0.8280 0.1720 0.3217
Br 0.8280 0.6559 0.3217
Br 0.1720 0.8280 0.6783
Rb 0.6667 0.3333 0.6802
Rb 0.0000 0.0000 0.0000
Rb 0.3333 0.6667 0.3198
Fe 0.6667 0.3333 0.1916
Fe 0.3333 0.6667 0.8084

Summary:
Symmetry = No. 164
DOS at the Fermi energy = 1.90 states/eV per cell
Raw total energy = -3.487 eV per atom

=====

Material: RbFe3Br
Method: DFT, PBE
State: relaxed

a = 4.6958 Å, b = 4.6958 Å, c = 4.6958 Å
α = 90.00°, β = 90.00°, γ = 90.00°
Atoms (fractional coordinates):
Rb 0.5000 0.5000 0.5000
Fe 0.0000 0.0000 0.5000
Fe 0.0000 0.5000 0.0000
Fe 0.5000 0.0000 0.0000
Br 0.0000 0.0000 0.0000

Summary:
Symmetry = No. 221
DOS at the Fermi energy = 4.38 states/eV per cell
Raw total energy = -4.252 eV per atom

=====

Material: RbFe2Br
Method: DFT, PBE
State: relaxed

a = 5.3577 Å, b = 5.3577 Å, c = 5.3577 Å
α = 60.00°, β = 60.00°, γ = 60.00°
Atoms (fractional coordinates):
Br 0.0000 0.0000 0.0000
Fe 0.7500 0.7500 0.7500
Fe 0.2500 0.2500 0.2500
Rb 0.5000 0.5000 0.5000

Summary:
Symmetry = No. 225
DOS at the Fermi energy = 10.79 states/eV per cell
Raw total energy = -3.534 eV per atom

=====

Material: RbFeBr4
Method: DFT, PBE
State: relaxed

a = 5.1555 Å, b = 7.5391 Å, c = 11.0317 Å
α = 90.00°, β = 103.51°, γ = 90.00°
Atoms (fractional coordinates):
Br 0.5780 0.7500 0.1561
Br 0.8268 0.0071 0.6536
Br 0.0000 0.0000 0.0000
Br 0.4220 0.2500 0.8439
Br 0.0000 0.5000 0.0000
Br 0.1732 0.9929 0.3464
Br 0.1732 0.5071 0.3464
Br 0.8268 0.4929 0.6536
Fe 0.8970 0.2500 0.7941
Fe 0.1030 0.7500 0.2059
Rb 0.4128 0.7500 0.8256
Rb 0.5872 0.2500 0.1744

Summary:
Symmetry = No. 63
DOS at the Fermi energy = 2.15 states/eV per cell
Raw total energy = -3.511 eV per atom

=====

Material: RbFe2SbBr
Method: DFT, PBE
State: relaxed

a = 5.9453 Å, b = 5.7849 Å, c = 5.9453 Å
α = 90.00°, β = 90.00°, γ = 90.00°
Atoms (fractional coordinates):
Sb 0.5000 0.5000 0.5000
Rb 0.0000 0.0000 0.0000
Br 0.0000 0.5000 0.0000
Fe 0.0000 0.0000 0.5000
Fe 0.5000 0.0000 0.0000

Summary:
Symmetry = No. 123
DOS at the Fermi energy = 15.82 states/eV per cell
Raw total energy = -2.955 eV per atom